1.
Below is an optimized crystal structure of BeInTe2, with properties calculated at the PBE level.

## Properties
Calculated volume = 111.3 Å³/f.u.
Magnetization = 0.00 Bohr magnetons per cell
ΔE_f (raw) = 8.6 kJ per mole of atoms

Cell: 5.856 5.856 5.856 Å, 142.66 109.90 82.22°
Positions (direct):
Be (0.750, 0.250, 0.500)
Te (0.563, 0.563, 0.000)
Te (0.937, 0.937, 0.000)
In (0.250, 0.750, 0.500)

---

2.
Below is an optimized crystal structure of Sb2OsPb, with properties calculated at the PBE level.

## Properties
Calculated volume = 103.4 Å³/f.u.
Magnetization = 0.00 Bohr magnetons per cell
ΔE_f (raw) = 32.0 kJ per mole of atoms

Cell: 4.134 4.134 7.393 Å, 73.95 73.95 59.70°
Positions (direct):
Sb (0.024, 0.024, 0.929)
Sb (0.476, 0.476, 0.571)
Pb (0.250, 0.250, 0.250)
Os (0.750, 0.750, 0.750)

---

3.
Below is an optimized crystal structure of AcBrClO2, with properties calculated at the PBE level.

## Properties
Calculated volume = 110.2 Å³/f.u.
Magnetization = 2.07 Bohr magnetons per cell
ΔE_f (raw) = -163.5 kJ per mole of atoms

Cell: 4.070 7.002 7.737 Å, 89.48 90.00 90.00°
Site moments in Bohr magnetons follow the coordinates.
Positions (direct):
O (0.750, 0.929, 0.624)  0.06
O (0.250, 0.643, 0.363)  0.44
O (0.250, 0.071, 0.376)  0.06
O (0.750, 0.357, 0.637)  0.44
Cl (0.250, 0.793, 0.994)  0.03
Cl (0.750, 0.207, 0.006)  0.03
Ac (0.750, 0.895, 0.288)  0.01
Ac (0.250, 0.105, 0.712)  0.01
Br (0.250, 0.378, 0.348)  0.30
Br (0.750, 0.622, 0.652)  0.30